# 1
Tl2InCuHg: relaxed, GGA-PBE.

```
Tl2InCuHg
1.0
5.3137 0.0000 0.0000
0.0000 5.3137 0.0000
0.0000 0.0000 5.1227
Tl In Cu Hg
2 1 1 1
direct
0.0000 0.5000 0.0000 Tl
0.5000 0.0000 0.0000 Tl
0.0000 0.0000 0.5000 In
0.0000 0.0000 0.0000 Cu
0.5000 0.5000 0.5000 Hg
```

- E above lowest polymorph (eV per atom) = 0.0000
- space group = P4/mmm (123)
- DOS at the Fermi energy (states/eV per atom) = 0.63

---

# 2
Tl2InCuHg: relaxed, GGA-PBE.

```
Tl2InCuHg
1.0
5.3028 0.0000 0.0000
0.0000 5.3028 0.0000
0.0000 0.0000 5.0978
Tl In Cu Hg
2 1 1 1
direct
0.0000 0.5000 0.0000 Tl
0.5000 0.0000 0.0000 Tl
0.0000 0.0000 0.5000 In
0.5000 0.5000 0.0000 Cu
0.5000 0.5000 0.5000 Hg
```

- E above lowest polymorph (eV per atom) = 0.0589
- space group = P4/mmm (123)
- DOS at the Fermi energy (states/eV per atom) = 0.52

---

# 3
TlInCuHg2: relaxed, GGA-PBE.

```
TlInCuHg2
1.0
5.1583 0.0000 0.0000
0.0000 5.1583 0.0000
0.0000 0.0000 5.0862
Tl In Cu Hg
1 1 1 2
direct
0.0000 0.0000 0.0000 Tl
0.5000 0.5000 0.0000 In
0.5000 0.5000 0.5000 Cu
0.0000 0.5000 0.5000 Hg
0.5000 0.0000 0.5000 Hg
```

- E above lowest polymorph (eV per atom) = 0.0000
- space group = P4/mmm (123)
- DOS at the Fermi energy (states/eV per atom) = 0.42

---

# 4
TlInCuHg2: relaxed, GGA-PBE.

```
TlInCuHg2
1.0
5.1389 0.0000 0.0000
0.0000 5.1389 0.0000
0.0000 0.0000 5.2423
Tl In Cu Hg
1 1 1 2
direct
0.0000 0.0000 0.0000 Tl
0.5000 0.5000 0.0000 In
0.0000 0.0000 0.5000 Cu
0.0000 0.5000 0.5000 Hg
0.5000 0.0000 0.5000 Hg
```

- E above lowest polymorph (eV per atom) = 0.0650
- space group = P4/mmm (123)
- DOS at the Fermi energy (states/eV per atom) = 0.50

---

Formation energy (eV per atom)
0.13, 0.19, 0.11, 0.18